First-principles (PBE) data for crystalline Tl2Ni at its relaxed geometry, as listed in the Alexandria database.

## Properties
**Formation energy**: 197.2 meV/atom
**Calculated volume**: 149.3 Å³/cell
**Energy**: -0.122 Ha/atom

Cell and atoms, written as CIF:
```
data_Tl2Ni
_chemical_formula_sum 'Tl4 Ni2'
_space_group_name_H-M_alt 'P n n m'
_space_group_IT_number 58
_space_group_name_Hall '-P 2 2n'
_cell_length_a 6.561
_cell_length_b 6.563
_cell_length_c 3.467
_cell_angle_alpha 90.00
_cell_angle_beta 90.00
_cell_angle_gamma 90.00
loop_
_atom_site_label
_atom_site_type_symbol
_atom_site_fract_x
_atom_site_fract_y
_atom_site_fract_z
_atom_site_occupancy
Tl1 Tl 0.217 0.219 0.000 1
Ni1 Ni 0.000 0.000 0.500 1
```

First-principles (PBE) data for crystalline Ca3Nd3CuSe8 at its relaxed geometry, as listed in the Alexandria database.

## Properties
**Calculated volume**: 832.7 Å³/cell
**Energy relative to the elements, uncorrected**: -1633 meV/atom
**Energy**: -0.188 Ha/atom

Cell and atoms, written as CIF:
```
data_Ca3Nd3CuSe8
_chemical_formula_sum 'Ca6 Nd6 Cu2 Se16'
_space_group_name_H-M_alt 'C 1 2/m 1'
_space_group_IT_number 12
_space_group_name_Hall '-C 2y'
_cell_length_a 14.481
_cell_length_b 8.366
_cell_length_c 8.401
_cell_angle_alpha 90.00
_cell_angle_beta 125.10
_cell_angle_gamma 90.00
loop_
_atom_site_label
_atom_site_type_symbol
_atom_site_fract_x
_atom_site_fract_y
_atom_site_fract_z
_atom_site_occupancy
Ca1 Ca 0.000 0.000 0.000 1
Ca2 Ca 0.250 0.250 0.000 1
Nd1 Nd 0.000 0.500 0.500 1
Nd2 Nd 0.250 0.250 0.500 1
Cu1 Cu 0.000 0.000 0.500 1
Se1 Se 0.001 0.240 0.263 1
Se2 Se 0.238 0.000 0.736 1
Se3 Se 0.249 0.000 0.247 1
```

First-principles (PBE) data for crystalline Cd2Hg3Pd7 at its relaxed geometry, as listed in the Alexandria database.

## Properties
**Formation energy**: -129.1 meV/atom
**Calculated volume**: 231.5 Å³/cell
**Energy**: -0.124 Ha/atom

Cell and atoms, written as CIF:
```
data_Cd2Hg3Pd7
_chemical_formula_sum 'Cd2 Hg3 Pd7'
_space_group_name_H-M_alt 'P -1'
_space_group_IT_number 2
_space_group_name_Hall '-P 1'
_cell_length_a 4.722
_cell_length_b 4.729
_cell_length_c 10.736
_cell_angle_alpha 77.28
_cell_angle_beta 88.29
_cell_angle_gamma 81.95
loop_
_atom_site_label
_atom_site_type_symbol
_atom_site_fract_x
_atom_site_fract_y
_atom_site_fract_z
_atom_site_occupancy
Cd1 Cd 0.000 0.151 0.199 1
Hg1 Hg 0.000 0.000 0.500 1
Hg2 Hg 0.499 0.649 0.202 1
Pd1 Pd 0.000 0.425 0.650 1
Pd2 Pd 0.001 0.283 0.933 1
Pd3 Pd 0.500 0.072 0.355 1
Pd4 Pd 0.500 0.500 0.500 1
```

First-principles (PBE) data for crystalline LiPu2CuS5 at its relaxed geometry, as listed in the Alexandria database.

## Properties
**Calculated volume**: 667.5 Å³/cell
**Energy relative to the elements, uncorrected**: -1181 meV/atom
**Energy**: -0.269 Ha/atom

Cell and atoms, written as CIF:
```
data_LiPu2CuS5
_chemical_formula_sum 'Li4 Pu8 Cu4 S20'
_space_group_name_H-M_alt 'C m c 21'
_space_group_IT_number 36
_space_group_name_Hall 'C 2c -2'
_cell_length_a 3.803
_cell_length_b 16.069
_cell_length_c 10.923
_cell_angle_alpha 90.00
_cell_angle_beta 90.00
_cell_angle_gamma 90.00
loop_
_atom_site_label
_atom_site_type_symbol
_atom_site_fract_x
_atom_site_fract_y
_atom_site_fract_z
_atom_site_occupancy
Li1 Li 0.000 0.202 0.000 1
Pu1 Pu 0.000 0.117 0.679 1
Pu2 Pu 0.000 0.126 0.297 1
Cu1 Cu 0.000 0.429 0.450 1
S1 S 0.000 0.041 0.055 1
S2 S 0.000 0.296 0.662 1
S3 S 0.000 0.309 0.335 1
S4 S 0.000 0.356 0.995 1
S5 S 0.000 0.500 0.269 1
```

First-principles (PBE) data for crystalline SmSc2PaAs4 at its relaxed geometry, as listed in the Alexandria database.

## Properties
**Formation energy**: -1323.1 meV/atom
**Calculated volume**: 183.3 Å³/cell
**Energy**: -0.258 Ha/atom

Cell and atoms, written as CIF:
```
data_SmSc2PaAs4
_chemical_formula_sum 'Sm1 Sc2 Pa1 As4'
_space_group_name_H-M_alt 'P 1 2/m 1'
_space_group_IT_number 10
_space_group_name_Hall '-P 2y'
_cell_length_a 6.893
_cell_length_b 4.037
_cell_length_c 6.995
_cell_angle_alpha 90.00
_cell_angle_beta 109.66
_cell_angle_gamma 90.00
loop_
_atom_site_label
_atom_site_type_symbol
_atom_site_fract_x
_atom_site_fract_y
_atom_site_fract_z
_atom_site_occupancy
Sm1 Sm 0.000 0.000 0.000 1
Sc1 Sc 0.500 0.000 0.500 1
Sc2 Sc 0.500 0.500 0.000 1
Pa1 Pa 0.000 0.500 0.500 1
As1 As 0.266 0.000 0.751 1
As2 As 0.267 0.500 0.262 1
```

First-principles (PBE) data for crystalline K2TeO at its relaxed geometry, as listed in the Alexandria database.

## Properties
**Calculated volume**: 549.3 Å³/cell
**Energy relative to the elements, uncorrected**: -879 meV/atom
**Energy**: -0.127 Ha/atom

Cell and atoms, written as CIF:
```
data_K2TeO
_chemical_formula_sum 'K8 Te4 O4'
_space_group_name_H-M_alt 'I -4 2 d'
_space_group_IT_number 122
_space_group_name_Hall 'I -4 2bw'
_cell_length_a 10.970
_cell_length_b 10.970
_cell_length_c 4.564
_cell_angle_alpha 90.00
_cell_angle_beta 90.00
_cell_angle_gamma 90.00
loop_
_atom_site_label
_atom_site_type_symbol
_atom_site_fract_x
_atom_site_fract_y
_atom_site_fract_z
_atom_site_occupancy
K1 K 0.032 0.250 0.125 1
Te1 Te 0.000 0.000 0.500 1
O1 O 0.000 0.000 0.000 1
```

First-principles (PBE) data for crystalline La2TbDy8 at its relaxed geometry, as listed in the Alexandria database.

## Properties
**Formation energy**: 27.5 meV/atom
**Calculated volume**: 716.5 Å³/cell
**Energy**: -0.170 Ha/atom

Cell and atoms, written as CIF:
```
data_La2TbDy8
_chemical_formula_sum 'La4 Tb2 Dy16'
_space_group_name_H-M_alt 'C 1 2/m 1'
_space_group_IT_number 12
_space_group_name_Hall '-C 2y'
_cell_length_a 18.263
_cell_length_b 5.075
_cell_length_c 8.015
_cell_angle_alpha 90.00
_cell_angle_beta 105.31
_cell_angle_gamma 90.00
loop_
_atom_site_label
_atom_site_type_symbol
_atom_site_fract_x
_atom_site_fract_y
_atom_site_fract_z
_atom_site_occupancy
La1 La 0.227 0.000 0.137 1
Tb1 Tb 0.000 0.500 0.500 1
Dy1 Dy 0.044 0.000 0.228 1
Dy2 Dy 0.089 0.500 0.953 1
Dy3 Dy 0.134 0.000 0.675 1
Dy4 Dy 0.181 0.500 0.407 1
```

First-principles (PBE) data for crystalline Pr2NdBi at its relaxed geometry, as listed in the Alexandria database.

## Properties
**Formation energy**: -379.6 meV/atom
**Calculated volume**: 133.7 Å³/cell
**Energy**: -0.181 Ha/atom

Cell and atoms, written as CIF:
```
data_Pr2NdBi
_chemical_formula_sum 'Pr2 Nd1 Bi1'
_space_group_name_H-M_alt 'P 4/m m m'
_space_group_IT_number 123
_space_group_name_Hall '-P 4 2'
_cell_length_a 4.266
_cell_length_b 4.266
_cell_length_c 7.348
_cell_angle_alpha 90.00
_cell_angle_beta 90.00
_cell_angle_gamma 90.00
loop_
_atom_site_label
_atom_site_type_symbol
_atom_site_fract_x
_atom_site_fract_y
_atom_site_fract_z
_atom_site_occupancy
Pr1 Pr 0.000 0.000 0.223 1
Nd1 Nd 0.500 0.500 0.500 1
Bi1 Bi 0.500 0.500 0.000 1
```

Which value of calculated volume does entry 8 give?
133.7 Å³/cell

Copy entry 7 word for word.
First-principles (PBE) data for crystalline La2TbDy8 at its relaxed geometry, as listed in the Alexandria database.

## Properties
**Formation energy**: 27.5 meV/atom
**Calculated volume**: 716.5 Å³/cell
**Energy**: -0.170 Ha/atom

Cell and atoms, written as CIF:
```
data_La2TbDy8
_chemical_formula_sum 'La4 Tb2 Dy16'
_space_group_name_H-M_alt 'C 1 2/m 1'
_space_group_IT_number 12
_space_group_name_Hall '-C 2y'
_cell_length_a 18.263
_cell_length_b 5.075
_cell_length_c 8.015
_cell_angle_alpha 90.00
_cell_angle_beta 105.31
_cell_angle_gamma 90.00
loop_
_atom_site_label
_atom_site_type_symbol
_atom_site_fract_x
_atom_site_fract_y
_atom_site_fract_z
_atom_site_occupancy
La1 La 0.227 0.000 0.137 1
Tb1 Tb 0.000 0.500 0.500 1
Dy1 Dy 0.044 0.000 0.228 1
Dy2 Dy 0.089 0.500 0.953 1
Dy3 Dy 0.134 0.000 0.675 1
Dy4 Dy 0.181 0.500 0.407 1
```